1.
{
  "formula": "TlPRu4",
  "functional": "PBE",
  "state": "optimized geometry",
  "sg": "No. 216",
  "e_form_ev_per_atom": 0.79,
  "energy_ev_per_atom": -6.689,
  "dos_at_fermi_per_ev_cell": 9.29,
  "cell": [[0.000, 3.672, 3.672], [3.672, 0.000, 3.672], [3.672, 3.672, 0.000]],
  "species": ["Ru", "Ru", "Ru", "Ru", "Tl", "P"],
  "fractional_positions": [[0.374, 0.374, 0.374], [0.374, 0.374, 0.877], [0.374, 0.877, 0.374], [0.877, 0.374, 0.374], [0.750, 0.750, 0.750], [0.000, 0.000, 0.000]]
}

2.
{
  "formula": "TlPRu2",
  "functional": "PBE",
  "state": "optimized geometry",
  "sg": "No. 119",
  "e_form_ev_per_atom": 0.69,
  "energy_ev_per_atom": -5.894,
  "dos_at_fermi_per_ev_cell": 6.17,
  "polymorph_energy_mev_per_atom": 740,
  "cell": [[-1.887, 1.887, 4.559], [1.887, -1.887, 4.559], [1.887, 1.887, -4.559]],
  "species": ["Ru", "Ru", "Tl", "P"],
  "fractional_positions": [[0.250, 0.750, 0.500], [0.000, 0.000, 0.000], [0.500, 0.500, 0.000], [0.750, 0.250, 0.500]]
}

3.
{
  "formula": "TlPRu2",
  "functional": "PBE",
  "state": "optimized geometry",
  "sg": "No. 71",
  "e_form_ev_per_atom": 0.21,
  "energy_ev_per_atom": -6.372,
  "dos_at_fermi_per_ev_cell": 6.01,
  "polymorph_energy_mev_per_atom": 262,
  "cell": [[-1.684, 2.631, 3.833], [1.684, -2.631, 3.833], [1.684, 2.631, -3.833]],
  "species": ["Ru", "Ru", "Tl", "P"],
  "fractional_positions": [[0.694, 0.694, 0.000], [0.306, 0.306, 0.000], [0.000, 0.500, 0.500], [0.500, 0.000, 0.500]]
}

4.
{
  "formula": "TlPRu2",
  "functional": "PBE",
  "state": "optimized geometry",
  "sg": "No. 123",
  "e_form_ev_per_atom": 0.05,
  "energy_ev_per_atom": -6.531,
  "dos_at_fermi_per_ev_cell": 2.82,
  "polymorph_energy_mev_per_atom": 103,
  "cell": [[-0.577, -2.830, -0.665], [2.907, -0.571, -0.089], [-0.103, -1.582, 6.821]],
  "species": ["P", "Tl", "Ru", "Ru"],
  "fractional_positions": [[0.500, 0.500, 0.500], [0.500, 0.500, 0.000], [0.000, 0.000, 0.694], [0.000, 0.000, 0.306]]
}

5.
{
  "formula": "Tl4PRu",
  "functional": "PBE",
  "state": "optimized geometry",
  "sg": "No. 216",
  "e_form_ev_per_atom": 1.06,
  "energy_ev_per_atom": -2.967,
  "dos_at_fermi_per_ev_cell": 5.95,
  "cell": [[0.000, 4.310, 4.310], [4.310, 0.000, 4.310], [4.310, 4.310, 0.000]],
  "species": ["Ru", "Tl", "Tl", "Tl", "Tl", "P"],
  "fractional_positions": [[0.000, 0.000, 0.000], [0.375, 0.875, 0.375], [0.375, 0.375, 0.375], [0.375, 0.375, 0.875], [0.875, 0.375, 0.375], [0.750, 0.750, 0.750]]
}

6.
{
  "formula": "Tl2PRu",
  "functional": "PBE",
  "state": "optimized geometry",
  "sg": "No. 44",
  "e_form_ev_per_atom": 0.19,
  "energy_ev_per_atom": -4.660,
  "dos_at_fermi_per_ev_cell": 3.08,
  "polymorph_energy_mev_per_atom": 206,
  "cell": [[-1.810, -1.658, 6.436], [-0.688, 3.784, 5.714], [-1.449, -1.671, -6.523]],
  "species": ["Tl", "Tl", "P", "Ru"],
  "fractional_positions": [[0.955, 0.955, 0.000], [0.259, 0.759, 0.500], [0.577, 0.577, 0.000], [0.709, 0.209, 0.500]]
}

7.
{
  "formula": "TlPRu2",
  "functional": "PBE",
  "state": "optimized geometry",
  "sg": "No. 225",
  "e_form_ev_per_atom": 0.42,
  "energy_ev_per_atom": -6.157,
  "dos_at_fermi_per_ev_cell": 1.43,
  "polymorph_energy_mev_per_atom": 477,
  "cell": [[3.094, -2.951, -1.227], [-1.139, -3.519, -2.471], [1.282, -0.241, -4.253]],
  "species": ["Ru", "Ru", "Tl", "P"],
  "fractional_positions": [[0.750, 0.750, 0.750], [0.250, 0.250, 0.250], [0.500, 0.500, 0.500], [0.000, 0.000, 0.000]]
}

8.
{
  "formula": "TlPRu2",
  "functional": "PBE",
  "state": "optimized geometry",
  "sg": "No. 8",
  "e_form_ev_per_atom": 0.07,
  "energy_ev_per_atom": -6.508,
  "dos_at_fermi_per_ev_cell": 2.91,
  "polymorph_energy_mev_per_atom": 126,
  "cell": [[1.503, 4.003, -0.017], [-1.503, 4.003, -0.017], [0.000, 0.937, 6.102]],
  "species": ["Ru", "Ru", "P", "Tl"],
  "fractional_positions": [[0.725, 0.725, 0.815], [0.000, 0.000, 0.100], [0.289, 0.289, 0.070], [0.486, 0.486, 0.514]]
}

Number 1 is which compound?
TlPRu4